Entry 1:
# Pm2Pr2Te7 (PBE, relaxed)
# Raw formation energy, eV per atom: -1.06
data_Pm2Pr2Te7
_chemical_formula_sum 'Pm4 Pr4 Te14'
_space_group_name_H-M_alt 'C m m m'
_space_group_IT_number 65
_space_group_name_Hall '-C 2 2'
_cell_length_a 11.148
_cell_length_b 11.385
_cell_length_c 6.945
_cell_angle_alpha 90.00
_cell_angle_beta 90.00
_cell_angle_gamma 90.00
loop_
_atom_site_label
_atom_site_type_symbol
_atom_site_fract_x
_atom_site_fract_y
_atom_site_fract_z
Pm1 Pm 0.227 0.000 0.000
Pr1 Pr 0.000 0.235 0.500
Te1 Te 0.000 0.000 0.250
Te2 Te 0.000 0.500 0.500
Te3 Te 0.250 0.250 0.240

Entry 2:
# Ba2TbDyO5 (PBE, relaxed)
# Raw formation energy, eV per atom: -3.04
data_Ba2TbDyO5
_chemical_formula_sum 'Ba8 Tb4 Dy4 O20'
_space_group_name_H-M_alt 'C m c 21'
_space_group_IT_number 36
_cell_length_a 3.704
_cell_length_b 14.635
_cell_length_c 11.997
_cell_angle_alpha 90.00
_cell_angle_beta 90.00
_cell_angle_gamma 90.00
loop_
_space_group_symop_operation_xyz
'x,y,z'
'-x,-y,z+1/2'
'-x,y,z'
'x,-y,z+1/2'
'x+1/2,y+1/2,z'
'-x+1/2,-y+1/2,z+1/2'
'-x+1/2,y+1/2,z'
'x+1/2,-y+1/2,z+1/2'
loop_
_atom_site_label
_atom_site_type_symbol
_atom_site_fract_x
_atom_site_fract_y
_atom_site_fract_z
Ba1 Ba 0.000 0.100 0.000
Ba2 Ba 0.000 0.144 0.601
Tb1 Tb 0.000 0.224 0.330
Dy1 Dy 0.000 0.470 0.775
O1 O 0.000 0.064 0.359
O2 O 0.000 0.274 0.958
O3 O 0.000 0.311 0.717
O4 O 0.000 0.378 0.319
O5 O 0.000 0.493 0.101

Entry 3:
# Np6Ge (PBE, relaxed)
# DFT formation energy, kJ per mole of atoms: 60.4
data_Np6Ge
_chemical_formula_sum 'Np12 Ge2'
_space_group_name_H-M_alt 'I m -3 m'
_space_group_IT_number 229
_space_group_name_Hall '-I 4 2 3'
_cell_length_a 6.821
_cell_length_b 6.821
_cell_length_c 6.821
_cell_angle_alpha 90.00
_cell_angle_beta 90.00
_cell_angle_gamma 90.00
loop_
_atom_site_label
_atom_site_type_symbol
_atom_site_fract_x
_atom_site_fract_y
_atom_site_fract_z
Np1 Np 0.000 0.250 0.500
Ge1 Ge 0.000 0.000 0.000

Entry 4:
# CaThH6Rh2 (PBE, relaxed)
# Total DFT energy (no corrections), eV per atom: -4.828
data_CaThH6Rh2
_chemical_formula_sum 'Ca3 Th3 H18 Rh6'
_space_group_name_H-M_alt 'R -3 m'
_space_group_IT_number 166
_space_group_name_Hall '-R 3 2"'
_cell_length_a 4.7349
_cell_length_b 4.7349
_cell_length_c 16.4347
_cell_angle_alpha 90.00
_cell_angle_beta 90.00
_cell_angle_gamma 120.00
loop_
_atom_site_label
_atom_site_type_symbol
_atom_site_fract_x
_atom_site_fract_y
_atom_site_fract_z
Ca1 Ca 0.0000 0.0000 0.0000
Th1 Th 0.0000 0.0000 0.5000
H1 H 0.0026 0.5013 0.4428
Rh1 Rh 0.0000 0.0000 0.2838

Entry 5:
# Pm3Nd2Pb6 (PBE, relaxed)
# DFT formation energy, kJ per mole of atoms: -8.6
data_Pm3Nd2Pb6
_chemical_formula_sum 'Pm6 Nd4 Pb12'
_space_group_name_H-M_alt 'I 4/m m m'
_space_group_IT_number 139
_space_group_name_Hall '-I 4 2'
_cell_length_a 6.051
_cell_length_b 6.051
_cell_length_c 22.457
_cell_angle_alpha 90.00
_cell_angle_beta 90.00
_cell_angle_gamma 90.00
loop_
_atom_site_label
_atom_site_type_symbol
_atom_site_fract_x
_atom_site_fract_y
_atom_site_fract_z
Pm1 Pm 0.000 0.000 0.000
Pm2 Pm 0.000 0.000 0.148
Nd1 Nd 0.000 0.000 0.424
Pb1 Pb 0.000 0.000 0.287
Pb2 Pb 0.000 0.500 0.075

Entry 6:
# LiYN2 (PBE, relaxed)
# Raw formation energy, eV per atom: -0.21
# Energy above the lowest structure with this stoichiometry, meV per atom: 45.6
data_LiYN2
_chemical_formula_sum 'Li3 Y3 N6'
_space_group_name_H-M_alt 'R -3 m'
_space_group_IT_number 166
_space_group_name_Hall '-R 3 2"'
_cell_length_a 3.5865
_cell_length_b 3.5865
_cell_length_c 18.1815
_cell_angle_alpha 90.00
_cell_angle_beta 90.00
_cell_angle_gamma 120.00
loop_
_atom_site_label
_atom_site_type_symbol
_atom_site_fract_x
_atom_site_fract_y
_atom_site_fract_z
Li1 Li 0.0000 0.0000 0.0000
Y1 Y 0.0000 0.0000 0.5000
N1 N 0.0000 0.0000 0.1047

Entry 7:
# TlBi4Pb8 (PBE, relaxed)
# DFT formation energy, kJ per mole of atoms: 5.3
# Energy above the lowest structure with this stoichiometry, meV per atom: 0.0
data_TlBi4Pb8
_chemical_formula_sum 'Tl1 Bi4 Pb8'
_space_group_name_H-M_alt 'P m m 2'
_space_group_IT_number 25
_cell_length_a 3.496
_cell_length_b 5.701
_cell_length_c 21.913
_cell_angle_alpha 90.00
_cell_angle_beta 90.00
_cell_angle_gamma 90.00
loop_
_space_group_symop_operation_xyz
'x,y,z'
'-x,-y,z'
'-x,y,z'
'x,-y,z'
loop_
_atom_site_label
_atom_site_type_symbol
_atom_site_fract_x
_atom_site_fract_y
_atom_site_fract_z
Tl1 Tl 0.000 0.000 0.000
Bi1 Bi 0.000 0.000 0.270
Bi2 Bi 0.000 0.500 0.467
Bi3 Bi 0.500 0.000 0.710
Bi4 Bi 0.500 0.500 0.904
Pb1 Pb 0.000 0.000 0.562
Pb2 Pb 0.000 0.000 0.849
Pb3 Pb 0.000 0.500 0.176
Pb4 Pb 0.000 0.500 0.762
Pb5 Pb 0.500 0.000 0.135
Pb6 Pb 0.500 0.000 0.419
Pb7 Pb 0.500 0.500 0.322
Pb8 Pb 0.500 0.500 0.613

Entry 8:
# Rb2Mg (PBE, relaxed)
# DFT formation energy, kJ per mole of atoms: 15.4
# Energy above the lowest structure with this stoichiometry, meV per atom: 0.0
data_Rb2Mg
_chemical_formula_sum 'Rb8 Mg4'
_space_group_name_H-M_alt 'C 1 2/m 1'
_space_group_IT_number 12
_cell_length_a 15.132
_cell_length_b 4.848
_cell_length_c 11.102
_cell_angle_alpha 90.00
_cell_angle_beta 112.51
_cell_angle_gamma 90.00
loop_
_space_group_symop_operation_xyz
'x,y,z'
'-x,-y,-z'
'-x,y,-z'
'x,-y,z'
'x+1/2,y+1/2,z'
'-x+1/2,-y+1/2,-z'
'-x+1/2,y+1/2,-z'
'x+1/2,-y+1/2,z'
loop_
_atom_site_label
_atom_site_type_symbol
_atom_site_fract_x
_atom_site_fract_y
_atom_site_fract_z
Rb1 Rb 0.014 0.000 0.190
Rb2 Rb 0.174 0.500 0.640
Mg1 Mg 0.205 0.500 0.041